# 1
Li2CoNi (PBE, optimized geometry); total magnetization = 2.0 μB/f.u.; calculated density = 4.378 g/cm³; energy of formation = 441 meV/atom
1.0
-3.256 3.256 2.352
3.256 -3.256 2.352
3.256 3.256 -2.352
Li Co Ni
4 2 2
direct
0.120 0.625 0.995
0.375 0.370 0.495
0.630 0.125 0.005
0.875 0.880 0.505
0.250 0.750 0.500
0.500 0.500 0.000
0.000 0.000 0.000
0.750 0.250 0.500



# 2
Na5BeSeO2 (PBE, optimized geometry); formation energy (no corrections) = -1.319 eV per atom; total magnetization = 0.0 μB/f.u.; calculated density = 2.251 g/cm³
1.0
4.700 0.000 0.000
0.000 4.700 0.000
0.000 0.000 7.845
Na Be Se O
5 1 1 2
direct
0.000 0.000 0.000
0.000 0.500 0.263
0.000 0.500 0.737
0.500 0.000 0.263
0.500 0.000 0.737
0.000 0.000 0.500
0.500 0.500 0.000
0.000 0.000 0.314
0.000 0.000 0.686